TcNiO2 | PBE+U | relaxed

Results
- Energy above the lowest structure with this stoichiometry: 0.294 eV/atom

abc: 4.3348 4.8554 5.5710
angles: 113.70 94.23 101.24
Atoms (fractional coordinates):
Tc: 0.0000 0.0000 0.0000
Tc: 0.4269 0.8056 0.0798
Ni: 0.4925 0.5373 0.4644
Ni: 0.6368 0.1119 0.6142
O: 0.2497 0.4462 0.1292
O: 0.3290 0.8920 0.7550
O: 0.6970 0.5667 0.8065
O: 0.7556 0.1917 0.2953